Y5Cd4Rh after structural relaxation, computed with PBE.

abc: 3.641 3.641 18.890
angles: 90.00 90.00 90.00
Positions (direct):
Y (0.000, 0.000, 0.000)
Y (0.000, 0.000, 0.206)
Y (0.000, 0.000, 0.415)
Y (0.000, 0.000, 0.585)
Y (0.000, 0.000, 0.794)
Cd (0.500, 0.500, 0.103)
Cd (0.500, 0.500, 0.308)
Cd (0.500, 0.500, 0.692)
Cd (0.500, 0.500, 0.897)
Rh (0.500, 0.500, 0.500)

Formation energy from the elements = -449 meV/atom
Density = 6.6 g/cm³



KY2Fe after structural relaxation, computed with PBE.

abc: 10.814 10.814 10.814
angles: 161.05 160.79 27.11
Positions (direct):
K (0.000, 0.000, 0.000)
Y (0.182, 0.682, 0.500)
Y (0.332, 0.332, 0.000)
Fe (0.741, 0.241, 0.500)

Formation energy from the elements = 384 meV/atom
Offset from the most stable computed form = 0.177 eV per atom
Density = 3.4 g/cm³



Sm2Cu2AgPd5 after structural relaxation, computed with PBE.

abc: 9.437 9.437 3.991
angles: 90.00 90.00 90.00
Positions (direct):
Sm (0.179, 0.321, 0.000)
Sm (0.321, 0.821, 0.000)
Sm (0.679, 0.179, 0.000)
Sm (0.821, 0.679, 0.000)
Cu (0.118, 0.618, 0.000)
Cu (0.382, 0.118, 0.000)
Cu (0.618, 0.882, 0.000)
Cu (0.882, 0.382, 0.000)
Ag (0.000, 0.000, 0.000)
Ag (0.500, 0.500, 0.000)
Pd (0.000, 0.500, 0.500)
Pd (0.068, 0.793, 0.500)
Pd (0.207, 0.068, 0.500)
Pd (0.293, 0.568, 0.500)
Pd (0.432, 0.293, 0.500)
Pd (0.500, 0.000, 0.500)
Pd (0.568, 0.707, 0.500)
Pd (0.707, 0.432, 0.500)
Pd (0.793, 0.932, 0.500)
Pd (0.932, 0.207, 0.500)

Formation energy from the elements = -555 meV/atom
Density = 10.0 g/cm³



Ho3ThSc5 after structural relaxation, computed with PBE.

abc: 9.286 9.286 3.343
angles: 90.00 90.00 120.00
Positions (direct):
Ho (0.000, 0.365, 0.000)
Ho (0.365, 0.000, 0.000)
Ho (0.635, 0.635, 0.000)
Th (0.000, 0.000, 0.000)
Sc (0.000, 0.686, 0.500)
Sc (0.314, 0.314, 0.500)
Sc (0.333, 0.667, 0.500)
Sc (0.667, 0.333, 0.500)
Sc (0.686, 0.000, 0.500)

Formation energy from the elements = 73 meV/atom
Density = 6.3 g/cm³



AcThHg2 after structural relaxation, computed with PBE.

abc: 10.319 10.319 10.319
angles: 21.50 21.50 21.50
Positions (direct):
Ac (0.000, 0.000, 0.000)
Th (0.500, 0.500, 0.500)
Hg (0.247, 0.247, 0.247)
Hg (0.753, 0.753, 0.753)

Formation energy from the elements = -169 meV/atom
Density = 11.0 g/cm³



Y2Pt2Au after structural relaxation, computed with PBE.

abc: 7.914 7.914 3.627
angles: 90.00 90.00 90.00
Positions (direct):
Y (0.164, 0.336, 0.000)
Y (0.336, 0.836, 0.000)
Y (0.664, 0.164, 0.000)
Y (0.836, 0.664, 0.000)
Pt (0.129, 0.629, 0.500)
Pt (0.371, 0.129, 0.500)
Pt (0.629, 0.871, 0.500)
Pt (0.871, 0.371, 0.500)
Au (0.000, 0.000, 0.000)
Au (0.500, 0.500, 0.000)

Formation energy from the elements = -861 meV/atom
Offset from the most stable computed form = 0.238 eV per atom
Density = 11.2 g/cm³



ErTm4Al5 after structural relaxation, computed with PBE.

abc: 3.536 3.536 17.941
angles: 90.00 90.00 90.00
Positions (direct):
Er (0.000, 0.000, 0.000)
Tm (0.000, 0.000, 0.201)
Tm (0.000, 0.000, 0.400)
Tm (0.000, 0.000, 0.600)
Tm (0.000, 0.000, 0.799)
Al (0.500, 0.500, 0.101)
Al (0.500, 0.500, 0.301)
Al (0.500, 0.500, 0.500)
Al (0.500, 0.500, 0.699)
Al (0.500, 0.500, 0.899)

Formation energy from the elements = -388 meV/atom
Density = 7.2 g/cm³



CsK4Tl4 after structural relaxation, computed with PBE.

abc: 11.549 11.549 7.218
angles: 90.00 90.00 90.00
Positions (direct):
Cs (0.250, 0.250, 0.250)
Cs (0.750, 0.750, 0.750)
K (0.082, 0.654, 0.109)
K (0.154, 0.918, 0.609)
K (0.346, 0.582, 0.609)
K (0.418, 0.846, 0.109)
K (0.582, 0.154, 0.891)
K (0.654, 0.418, 0.391)
K (0.846, 0.082, 0.391)
K (0.918, 0.346, 0.891)
Tl (0.033, 0.605, 0.605)
Tl (0.105, 0.967, 0.105)
Tl (0.395, 0.533, 0.105)
Tl (0.467, 0.895, 0.605)
Tl (0.533, 0.105, 0.395)
Tl (0.605, 0.467, 0.895)
Tl (0.895, 0.033, 0.895)
Tl (0.967, 0.395, 0.395)

Formation energy from the elements = 34 meV/atom
Offset from the most stable computed form = 0.068 eV per atom
Density = 3.8 g/cm³



Tl5CdPb2 after structural relaxation, computed with PBE.

abc: 6.846 13.163 5.377
angles: 90.00 90.00 90.00
Positions (direct):
Tl (0.000, 0.000, 0.000)
Tl (0.066, 0.258, 0.000)
Tl (0.172, 0.853, 0.500)
Tl (0.328, 0.353, 0.500)
Tl (0.434, 0.758, 0.000)
Tl (0.500, 0.500, 0.000)
Tl (0.566, 0.242, 0.000)
Tl (0.672, 0.647, 0.500)
Tl (0.828, 0.147, 0.500)
Tl (0.934, 0.742, 0.000)
Cd (0.000, 0.500, 0.000)
Cd (0.500, 0.000, 0.000)
Pb (0.179, 0.598, 0.500)
Pb (0.321, 0.098, 0.500)
Pb (0.679, 0.902, 0.500)
Pb (0.821, 0.402, 0.500)

Formation energy from the elements = 18 meV/atom
Offset from the most stable computed form = 0.000 eV per atom
Density = 10.6 g/cm³



Ba2TbTmSe4 after structural relaxation, computed with PBE.

abc: 7.389 4.277 7.788
angles: 90.00 108.53 90.00
Positions (direct):
Ba (0.000, 0.000, 0.000)
Ba (0.500, 0.500, 0.000)
Tb (0.000, 0.500, 0.500)
Tm (0.500, 0.000, 0.500)
Se (0.241, 0.000, 0.711)
Se (0.267, 0.500, 0.291)
Se (0.733, 0.500, 0.709)
Se (0.759, 0.000, 0.289)

Energy relative to the elements, uncorrected = -1.862 eV/atom
Density = 6.5 g/cm³



Mn2P after structural relaxation, computed with PBE.

abc: 5.400 5.400 5.400
angles: 29.52 29.52 29.52
Positions (direct):
Mn (0.000, 0.000, 0.000)
Mn (0.206, 0.206, 0.206)
P (0.771, 0.771, 0.771)

Formation energy from the elements = -172 meV/atom
Density = 6.9 g/cm³



ZnHgO2F after structural relaxation, computed with PBE.

abc: 3.933 3.933 4.034
angles: 90.00 90.00 90.00
Positions (direct):
Zn (0.000, 0.000, 0.000)
Hg (0.500, 0.500, 0.500)
O (0.000, 0.500, 0.000)
O (0.500, 0.000, 0.000)
F (0.000, 0.000, 0.500)

Energy relative to the elements, uncorrected = -0.635 eV/atom
Density = 8.4 g/cm³



CaNd3Ho after structural relaxation, computed with PBE.

abc: 9.743 9.743 7.269
angles: 111.78 111.78 33.60
Positions (direct):
Ca (0.109, 0.109, 0.108)
Ca (0.891, 0.891, 0.892)
Nd (0.108, 0.108, 0.611)
Nd (0.298, 0.298, 0.550)
Nd (0.498, 0.498, 0.738)
Nd (0.502, 0.502, 0.262)
Nd (0.702, 0.702, 0.450)
Nd (0.892, 0.892, 0.389)
Ho (0.300, 0.300, 0.054)
Ho (0.700, 0.700, 0.946)

Formation energy from the elements = 95 meV/atom
Offset from the most stable computed form = 0.000 eV per atom
Density = 6.0 g/cm³



Sm6SiN4 after structural relaxation, computed with PBE.

abc: 6.315 6.315 18.919
angles: 90.00 90.00 146.21
Positions (direct):
Sm (0.000, 0.000, 0.000)
Sm (0.000, 0.000, 0.500)
Sm (0.152, 0.848, 0.750)
Sm (0.277, 0.723, 0.078)
Sm (0.277, 0.723, 0.422)
Sm (0.459, 0.541, 0.650)
Sm (0.459, 0.541, 0.850)
Sm (0.541, 0.459, 0.150)
Sm (0.541, 0.459, 0.350)
Sm (0.723, 0.277, 0.578)
Sm (0.723, 0.277, 0.922)
Sm (0.848, 0.152, 0.250)
Si (0.164, 0.836, 0.250)
Si (0.836, 0.164, 0.750)
N (0.087, 0.913, 0.622)
N (0.087, 0.913, 0.878)
N (0.362, 0.638, 0.540)
N (0.362, 0.638, 0.960)
N (0.638, 0.362, 0.040)
N (0.638, 0.362, 0.460)
N (0.913, 0.087, 0.122)
N (0.913, 0.087, 0.378)

Energy relative to the elements, uncorrected = -1.220 eV/atom
Density = 7.8 g/cm³



In3Ga3Hg after structural relaxation, computed with PBE.

abc: 7.744 7.744 7.744
angles: 90.00 90.00 90.00
Positions (direct):
In (0.000, 0.250, 0.500)
In (0.000, 0.750, 0.500)
In (0.250, 0.500, 0.000)
In (0.500, 0.000, 0.250)
In (0.500, 0.000, 0.750)
In (0.750, 0.500, 0.000)
Ga (0.000, 0.500, 0.250)
Ga (0.000, 0.500, 0.750)
Ga (0.250, 0.000, 0.500)
Ga (0.500, 0.250, 0.000)
Ga (0.500, 0.750, 0.000)
Ga (0.750, 0.000, 0.500)
Hg (0.000, 0.000, 0.000)
Hg (0.500, 0.500, 0.500)

Formation energy from the elements = 310 meV/atom
Offset from the most stable computed form = 0.266 eV per atom
Density = 5.4 g/cm³



BeSbS3 after structural relaxation, computed with PBE.

abc: 4.398 4.398 4.398
angles: 90.00 90.00 90.00
Positions (direct):
Be (0.000, 0.000, 0.000)
Sb (0.500, 0.500, 0.500)
S (0.000, 0.000, 0.500)
S (0.000, 0.500, 0.000)
S (0.500, 0.000, 0.000)

Energy relative to the elements, uncorrected = 0.112 eV/atom
Density = 4.4 g/cm³



TiTeI2N after structural relaxation, computed with PBE.

abc: 6.228 6.228 3.982
angles: 90.00 90.00 90.00
Positions (direct):
Ti (0.000, 0.000, 0.000)
Te (0.500, 0.500, 0.500)
I (0.000, 0.500, 0.500)
I (0.500, 0.000, 0.500)
N (0.500, 0.500, 0.000)

Energy relative to the elements, uncorrected = 0.925 eV/atom
Offset from the most stable computed form = 0.855 eV per atom
Density = 4.8 g/cm³



Be2Tc2Ni after structural relaxation, computed with PBE.

abc: 5.797 5.797 3.228
angles: 90.00 90.00 90.00
Positions (direct):
Be (0.124, 0.376, 0.000)
Be (0.376, 0.876, 0.000)
Be (0.624, 0.124, 0.000)
Be (0.876, 0.624, 0.000)
Tc (0.176, 0.676, 0.500)
Tc (0.324, 0.176, 0.500)
Tc (0.676, 0.824, 0.500)
Tc (0.824, 0.324, 0.500)
Ni (0.000, 0.000, 0.000)
Ni (0.500, 0.500, 0.000)

Formation energy from the elements = -215 meV/atom
Density = 8.3 g/cm³



TmCd2Hg7 after structural relaxation, computed with PBE.

abc: 9.382 9.382 7.994
angles: 101.31 101.31 47.85
Positions (direct):
Tm (0.053, 0.947, 0.750)
Tm (0.947, 0.053, 0.250)
Cd (0.292, 0.350, 0.660)
Cd (0.350, 0.292, 0.160)
Cd (0.650, 0.708, 0.840)
Cd (0.708, 0.650, 0.340)
Hg (0.131, 0.263, 0.343)
Hg (0.132, 0.671, 0.406)
Hg (0.134, 0.668, 0.997)
Hg (0.263, 0.131, 0.843)
Hg (0.329, 0.868, 0.094)
Hg (0.332, 0.866, 0.503)
Hg (0.460, 0.540, 0.750)
Hg (0.540, 0.460, 0.250)
Hg (0.668, 0.134, 0.497)
Hg (0.671, 0.132, 0.906)
Hg (0.737, 0.869, 0.157)
Hg (0.866, 0.332, 0.003)
Hg (0.868, 0.329, 0.594)
Hg (0.869, 0.737, 0.657)

Formation energy from the elements = -92 meV/atom
Density = 11.7 g/cm³



MnPt2WN after structural relaxation, computed with PBE.

abc: 4.161 4.161 4.005
angles: 90.00 90.00 90.00
Positions (direct):
Mn (0.000, 0.000, 0.000)
Pt (0.000, 0.500, 0.500)
Pt (0.500, 0.000, 0.500)
W (0.500, 0.500, 0.000)
N (0.500, 0.500, 0.500)

Energy relative to the elements, uncorrected = 0.549 eV/atom
Density = 15.4 g/cm³